No. 1
# Cs3HoSe3, optimized geometry, DFT PBE-GGA
# Crystal system   monoclinic
# ΔE_f (raw)   -1.43 eV per atom
# Raw total energy   -3.945 eV per atom
data_Cs3HoSe3
_chemical_formula_sum 'Cs12 Ho4 Se12'
_cell_length_a 9.0176
_cell_length_b 15.0805
_cell_length_c 11.5875
_cell_angle_alpha 90.00
_cell_angle_beta 127.36
_cell_angle_gamma 90.00
_space_group_name_H-M_alt 'P 1 21/c 1'
_space_group_IT_number 14
loop_
_space_group_symop_operation_xyz
'x,y,z'
'-x,-y,-z'
'-x,y+1/2,-z+1/2'
'x,-y+1/2,z+1/2'
loop_
_atom_site_label
_atom_site_fract_x
_atom_site_fract_y
_atom_site_fract_z
Cs1 0.1123 0.1228 0.4723
Cs2 0.1713 0.1102 0.8879
Cs3 0.3325 0.6762 0.5461
Ho1 0.4462 0.0651 0.3402
Se1 0.1802 0.1906 0.1995
Se2 0.3307 0.5986 0.8657
Se3 0.3673 0.5440 0.2700


No. 2
# Sr2In4Hg3Pb, optimized geometry, DFT PBE-GGA
# Crystal system   tetragonal
# Raw total energy   -2.177 eV per atom
data_Sr2In4Hg3Pb
_chemical_formula_sum 'Sr2 In4 Hg3 Pb1'
_cell_length_a 4.9137
_cell_length_b 4.9137
_cell_length_c 12.3336
_cell_angle_alpha 90.00
_cell_angle_beta 90.00
_cell_angle_gamma 90.00
_space_group_name_H-M_alt 'P -4 m 2'
_space_group_IT_number 115
loop_
_space_group_symop_operation_xyz
'x,y,z'
'y,-x,-z'
'-x,-y,z'
'-y,x,-z'
'-x,y,z'
'-y,-x,-z'
'x,-y,z'
'y,x,-z'
loop_
_atom_site_label
_atom_site_fract_x
_atom_site_fract_y
_atom_site_fract_z
Sr1 0.0000 0.5000 0.2431
In1 0.0000 0.0000 0.0000
In2 0.0000 0.5000 0.6413
In3 0.5000 0.5000 0.0000
Hg1 0.0000 0.5000 0.8660
Hg2 0.5000 0.5000 0.5000
Pb1 0.0000 0.0000 0.5000


No. 3
# ScInGaO4, optimized geometry, DFT PBE-GGA
# Crystal system   orthorhombic
# ΔE_f (raw)   -2.07 eV per atom
# Raw total energy   -6.629 eV per atom
data_ScInGaO4
_chemical_formula_sum 'Sc4 In4 Ga4 O16'
_cell_length_a 6.3617
_cell_length_b 6.3800
_cell_length_c 9.0323
_cell_angle_alpha 90.00
_cell_angle_beta 90.00
_cell_angle_gamma 90.00
_space_group_name_H-M_alt 'I m m a'
_space_group_IT_number 74
_space_group_name_Hall '-I 2b 2'
loop_
_atom_site_label
_atom_site_fract_x
_atom_site_fract_y
_atom_site_fract_z
Sc1 0.2500 0.2500 0.2500
In1 0.0000 0.0000 0.0000
Ga1 0.0000 0.2500 0.6234
O1 0.0000 0.0181 0.2516
O2 0.2464 0.2500 0.0094


Which formula does entry 1 have?
Cs3HoSe3